# Al3TcSn (PBE-GGA, relaxed)
data_Al3TcSn
_chemical_formula_sum 'Al3 Tc1 Sn1'
_cell_length_a 4.799
_cell_length_b 4.799
_cell_length_c 4.799
_cell_angle_alpha 90.00
_cell_angle_beta 90.00
_cell_angle_gamma 90.00
_space_group_name_H-M_alt 'P m -3 m'
_space_group_IT_number 221
_space_group_name_Hall '-P 4 2 3'
loop_
_atom_site_label
_atom_site_fract_x
_atom_site_fract_y
_atom_site_fract_z
Al1 0.000 0.000 0.500
Tc1 0.000 0.000 0.000
Sn1 0.500 0.500 0.500
# - Energy of formation from the pure elements: 0.230 eV per atom
# - Magnetic moment: 0.00 μB per cell
# - Polymorph energy (0 for the lowest one): 0 meV per atom

# ReOs2Rh (PBE-GGA, relaxed)
data_ReOs2Rh
_chemical_formula_sum 'Re4 Os8 Rh4'
_cell_length_a 6.185
_cell_length_b 6.185
_cell_length_c 6.185
_cell_angle_alpha 90.00
_cell_angle_beta 90.00
_cell_angle_gamma 90.00
_space_group_name_H-M_alt 'F -4 3 m'
_space_group_IT_number 216
_space_group_name_Hall 'F -4 2 3'
loop_
_atom_site_label
_atom_site_fract_x
_atom_site_fract_y
_atom_site_fract_z
Re1 0.000 0.000 0.000
Os1 0.000 0.000 0.500
Os2 0.250 0.250 0.750
Rh1 0.250 0.250 0.250
# - Energy of formation from the pure elements: 0.592 eV per atom
# - Magnetic moment: 0.00 μB per cell
# - Polymorph energy (0 for the lowest one): 555 meV per atom

# SnS2F (PBE-GGA, relaxed)
data_SnS2F
_chemical_formula_sum 'Sn4 S8 F4'
_cell_length_a 6.378
_cell_length_b 6.378
_cell_length_c 6.378
_cell_angle_alpha 90.00
_cell_angle_beta 90.00
_cell_angle_gamma 90.00
_space_group_name_H-M_alt 'F m -3 m'
_space_group_IT_number 225
_space_group_name_Hall '-F 4 2 3'
loop_
_atom_site_label
_atom_site_fract_x
_atom_site_fract_y
_atom_site_fract_z
Sn1 0.000 0.000 0.000
S1 0.250 0.250 0.250
F1 0.000 0.000 0.500
# - ΔE_f (raw): -0.18 eV per atom
# - Magnetic moment: 0.00 μB per cell
# - Polymorph energy (0 for the lowest one): 202 meV per atom

# CeInAu2 (PBE-GGA, relaxed)
data_CeInAu2
_chemical_formula_sum 'Ce1 In1 Au2'
_cell_length_a 4.919
_cell_length_b 4.919
_cell_length_c 3.879
_cell_angle_alpha 90.00
_cell_angle_beta 90.00
_cell_angle_gamma 90.00
_space_group_name_H-M_alt 'P 4/m m m'
_space_group_IT_number 123
_space_group_name_Hall '-P 4 2'
loop_
_atom_site_label
_atom_site_fract_x
_atom_site_fract_y
_atom_site_fract_z
Ce1 0.000 0.000 0.000
In1 0.500 0.500 0.000
Au1 0.000 0.500 0.500
# - Energy of formation from the pure elements: -0.456 eV per atom
# - Magnetic moment: 0.98 μB per cell

# ScIrOs2 (PBE-GGA, relaxed)
data_ScIrOs2
_chemical_formula_sum 'Sc1 Ir1 Os2'
_cell_length_a 4.532
_cell_length_b 4.532
_cell_length_c 3.012
_cell_angle_alpha 90.00
_cell_angle_beta 90.00
_cell_angle_gamma 90.00
_space_group_name_H-M_alt 'P 4/m m m'
_space_group_IT_number 123
_space_group_name_Hall '-P 4 2'
loop_
_atom_site_label
_atom_site_fract_x
_atom_site_fract_y
_atom_site_fract_z
Sc1 0.000 0.000 0.000
Ir1 0.500 0.500 0.000
Os1 0.000 0.500 0.500
# - Energy of formation from the pure elements: 0.076 eV per atom
# - Magnetic moment: 0.02 μB per cell
# - Polymorph energy (0 for the lowest one): 253 meV per atom

# Pu2SbSe2O2 (PBE-GGA, relaxed)
data_Pu2SbSe2O2
_chemical_formula_sum 'Pu2 Sb1 Se2 O2'
_cell_length_a 3.7034
_cell_length_b 3.7034
_cell_length_c 14.0649
_cell_angle_alpha 90.00
_cell_angle_beta 90.00
_cell_angle_gamma 120.00
_space_group_name_H-M_alt 'P -3 m 1'
_space_group_IT_number 164
_space_group_name_Hall '-P 3 2"'
loop_
_atom_site_label
_atom_site_fract_x
_atom_site_fract_y
_atom_site_fract_z
Pu1 0.3333 0.6667 0.2638
Sb1 0.0000 0.0000 0.5000
Se1 0.0000 0.0000 0.1326
O1 0.3333 0.6667 0.6962
# - ΔE_f (raw): -1.57 eV per atom
# - Magnetic moment: 7.08 μB per cell

# InSi2Pt (PBE-GGA, relaxed)
data_InSi2Pt
_chemical_formula_sum 'In1 Si2 Pt1'
_cell_length_a 2.843
_cell_length_b 3.380
_cell_length_c 7.352
_cell_angle_alpha 90.00
_cell_angle_beta 90.00
_cell_angle_gamma 90.00
_space_group_name_H-M_alt 'P m m 2'
_space_group_IT_number 25
loop_
_space_group_symop_operation_xyz
'x,y,z'
'-x,-y,z'
'-x,y,z'
'x,-y,z'
loop_
_atom_site_label
_atom_site_fract_x
_atom_site_fract_y
_atom_site_fract_z
In1 0.000 0.000 0.000
Si1 0.000 0.000 0.471
Si2 0.500 0.500 0.667
Pt1 0.500 0.500 0.288
# - ΔE_f (raw): 0.04 eV per atom
# - Magnetic moment: 0.00 μB per cell

# NaNiBi2 (PBE-GGA, relaxed)
data_NaNiBi2
_chemical_formula_sum 'Na3 Ni3 Bi6'
_cell_length_a 4.1778
_cell_length_b 4.1778
_cell_length_c 21.2472
_cell_angle_alpha 90.00
_cell_angle_beta 90.00
_cell_angle_gamma 120.00
_space_group_name_H-M_alt 'R 3 m'
_space_group_IT_number 160
_space_group_name_Hall 'R 3 -2"'
loop_
_atom_site_label
_atom_site_fract_x
_atom_site_fract_y
_atom_site_fract_z
Na1 0.0000 0.0000 0.0000
Ni1 0.0000 0.0000 0.8353
Bi1 0.0000 0.0000 0.2245
Bi2 0.0000 0.0000 0.4448
# - Energy of formation from the pure elements: -0.114 eV per atom
# - Magnetic moment: 0.00 μB per cell
# - Polymorph energy (0 for the lowest one): 0 meV per atom